(1)
Density functional theory data (PBE-GGA) for La2MgSi3Pd4 after structural relaxation.

Crystal system: tetragonal
Space-group type: No. 115
Size of the total moment, μB per cell: 0.00
Formation energy without anion corrections, eV/f.u.: -8.78

Cell lengths 4.3219, 4.3219, 10.2399 Å; angles 90.00, 90.00, 90.00 degrees
Positions (direct):
La 0.0000 0.5000 0.2454
La 0.5000 0.0000 0.7546
Mg 0.0000 0.0000 0.5000
Si 0.0000 0.5000 0.8759
Si 0.5000 0.0000 0.1241
Si 0.5000 0.5000 0.5000
Pd 0.0000 0.0000 0.0000
Pd 0.0000 0.5000 0.6374
Pd 0.5000 0.0000 0.3626
Pd 0.5000 0.5000 0.0000

(2)
Density functional theory data (PBE-GGA) for LaSmMgPd after structural relaxation.

Crystal system: cubic
ΔE_f, eV/atom: -0.332
Space-group type: No. 216
Size of the total moment, μB per cell: 0.00

Cell lengths 5.3188, 5.3188, 5.3188 Å; angles 60.00, 60.00, 60.00 degrees
Positions (direct):
La 0.0000 0.0000 0.0000
Sm 0.5000 0.5000 0.5000
Mg 0.2500 0.2500 0.2500
Pd 0.7500 0.7500 0.7500